The following is a DFT calculation (PBE-GGA) of Y2TcIr after structural relaxation.

Cell lengths 8.7292, 8.7292, 8.7292 Å; angles 22.28, 22.28, 22.28 degrees
Atoms (fractional coordinates):
Y1 0.2488 0.2488 0.2488
Y2 0.7512 0.7512 0.7512
Tc1 0.5000 0.5000 0.5000
Ir1 0.0000 0.0000 0.0000

## Properties
Calculated density in g/cm³: 9.269
Energy in eV for the cell shown: -31.8
DOS at the Fermi energy in states/eV per atom: 0.51
ΔH_f (0 K) in meV/atom: 93

***

The following is a DFT calculation (PBE-GGA) of Sm2ErGa4Pt3 after structural relaxation.

Cell lengths 4.2018, 4.2018, 11.6945 Å; angles 90.00, 90.00, 90.00 degrees
Atoms (fractional coordinates):
Sm1 0.0000 0.5000 0.2270
Sm2 0.5000 0.0000 0.7730
Er1 0.0000 0.0000 0.5000
Ga1 0.0000 0.0000 0.0000
Ga2 0.0000 0.5000 0.6641
Ga3 0.5000 0.0000 0.3359
Ga4 0.5000 0.5000 0.0000
Pt1 0.0000 0.5000 0.8743
Pt2 0.5000 0.0000 0.1257
Pt3 0.5000 0.5000 0.5000

## Properties
Calculated density in g/cm³: 10.714
Energy in eV for the cell shown: -53.1
DOS at the Fermi energy in states/eV per atom: 0.75
ΔH_f (0 K) in meV/atom: -887

***

The following is a DFT calculation (PBE-GGA) of Rb2IrW after structural relaxation.

Cell lengths 9.3443, 9.3443, 9.3443 Å; angles 93.76, 93.76, 150.33 degrees
Atoms (fractional coordinates):
Rb1 0.3750 0.2012 0.3262
Rb2 0.7988 0.1250 0.1738
Rb3 0.8750 0.0488 0.6738
Rb4 0.9512 0.6250 0.8262
Ir1 0.0000 0.0000 0.0000
Ir2 0.7500 0.2500 0.5000
W1 0.2500 0.7500 0.5000
W2 0.5000 0.5000 0.0000

## Properties
Calculated density in g/cm³: 4.653
Energy in eV for the cell shown: -36.4
DOS at the Fermi energy in states/eV per atom: 1.43
ΔH_f (0 K) in meV/atom: 1381

***

The following is a DFT calculation (PBE-GGA) of MgOs2Pb after structural relaxation.

Cell lengths 4.6064, 4.6064, 4.6064 Å; angles 60.00, 60.00, 60.00 degrees
Atoms (fractional coordinates):
Mg1 0.0000 0.0000 0.0000
Os1 0.2500 0.2500 0.2500
Os2 0.5000 0.5000 0.5000
Pb1 0.7500 0.7500 0.7500

## Properties
Calculated density in g/cm³: 14.703
Energy in eV for the cell shown: -24.6
DOS at the Fermi energy in states/eV per atom: 1.58
ΔH_f (0 K) in meV/atom: 791

***

The following is a DFT calculation (PBE-GGA) of BeSnSeO2 after structural relaxation.

Cell lengths 3.7431, 3.7431, 4.8236 Å; angles 90.00, 90.00, 90.00 degrees
Atoms (fractional coordinates):
Be1 0.0000 0.0000 0.0000
Sn1 0.5000 0.5000 0.5000
Se1 0.0000 0.0000 0.5000
O1 0.0000 0.5000 0.0000
O2 0.5000 0.0000 0.0000

## Properties
Calculated density in g/cm³: 5.865
Energy in eV for the cell shown: -23.3
DOS at the Fermi energy in states/eV per atom: 0.39
Formation energy from raw total energies in eV/atom: -0.428

***

The following is a DFT calculation (PBE-GGA) of KHg2Au after structural relaxation.

Cell lengths 5.0154, 4.1552, 6.4389 Å; angles 90.00, 112.67, 90.00 degrees
Atoms (fractional coordinates):
K1 0.0000 0.0000 0.0000
Hg1 0.2836 0.0000 0.5655
Hg2 0.7050 0.5000 0.4085
Au1 0.4570 0.5000 0.9123

## Properties
Calculated density in g/cm³: 8.546
Energy in eV for the cell shown: -5.7
DOS at the Fermi energy in states/eV per atom: 0.14
ΔH_f (0 K) in meV/atom: -178

***

The following is a DFT calculation (PBE-GGA) of TbCu4Tc after structural relaxation.

Cell lengths 4.9943, 4.9943, 4.9943 Å; angles 60.00, 60.00, 60.00 degrees
Atoms (fractional coordinates):
Tb1 0.0000 0.0000 0.0000
Cu1 0.3763 0.3763 0.3763
Cu2 0.3763 0.3763 0.8710
Cu3 0.3763 0.8710 0.3763
Cu4 0.8710 0.3763 0.3763
Tc1 0.7500 0.7500 0.7500

## Properties
Calculated density in g/cm³: 9.635
Energy in eV for the cell shown: -31.1
DOS at the Fermi energy in states/eV per atom: 0.43
ΔH_f (0 K) in meV/atom: 53

***

The following is a DFT calculation (PBE-GGA) of KMg3Ge after structural relaxation.

Cell lengths 5.3809, 5.3809, 5.3809 Å; angles 90.00, 90.00, 90.00 degrees
Atoms (fractional coordinates):
K1 0.0000 0.0000 0.0000
Mg1 0.0000 0.5000 0.5000
Mg2 0.5000 0.0000 0.5000
Mg3 0.5000 0.5000 0.0000
Ge1 0.5000 0.5000 0.5000

## Properties
Calculated density in g/cm³: 1.968
Energy in eV for the cell shown: -9.7
DOS at the Fermi energy in states/eV per atom: 0.94
ΔH_f (0 K) in meV/atom: 157

***

The following is a DFT calculation (PBE-GGA) of Tl2CuRhO6 after structural relaxation.

Cell lengths 5.3297, 5.3297, 4.7951 Å; angles 90.00, 90.00, 90.00 degrees
Atoms (fractional coordinates):
Tl1 0.0000 0.5000 0.0000
Tl2 0.5000 0.0000 0.0000
Cu1 0.0000 0.0000 0.5635
Rh1 0.5000 0.5000 0.5677
O1 0.0000 0.0000 0.1572
O2 0.2518 0.2518 0.6681
O3 0.2518 0.7482 0.6681
O4 0.5000 0.5000 0.1780
O5 0.7482 0.2518 0.6681
O6 0.7482 0.7482 0.6681

## Properties
Calculated density in g/cm³: 8.183
Energy in eV for the cell shown: -49.9
DOS at the Fermi energy in states/eV per atom: 0.78
Formation energy from raw total energies in eV/atom: -0.396

***

The following is a DFT calculation (PBE-GGA) of Mn2NiRh after structural relaxation.

Cell lengths 4.8167, 4.8167, 4.3154 Å; angles 107.35, 107.35, 34.48 degrees
Atoms (fractional coordinates):
Mn1 0.0000 0.0000 0.0000
Mn2 0.2392 0.2392 0.6426
Ni1 0.7375 0.7375 0.1333
Rh1 0.4921 0.4921 0.4938

## Properties
Calculated density in g/cm³: 8.372
Energy in eV for the cell shown: -31.4
DOS at the Fermi energy in states/eV per atom: 1.08
ΔH_f (0 K) in meV/atom: 19

***

The following is a DFT calculation (PBE-GGA) of CrReTe2I after structural relaxation.

Cell lengths 5.1444, 5.1444, 5.8929 Å; angles 90.00, 90.00, 90.00 degrees
Atoms (fractional coordinates):
Cr1 0.0000 0.0000 0.0000
Re1 0.5000 0.5000 0.5000
Te1 0.0000 0.5000 0.5000
Te2 0.5000 0.0000 0.5000
I1 0.5000 0.5000 0.0000

## Properties
Calculated density in g/cm³: 6.605
Energy in eV for the cell shown: -25.1
DOS at the Fermi energy in states/eV per atom: 0.84
Formation energy from raw total energies in eV/atom: 0.969

***

The following is a DFT calculation (PBE-GGA) of Pu3Si2Rh6 after structural relaxation.

Cell lengths 7.9711, 7.9711, 7.9711 Å; angles 109.47, 109.47, 109.47 degrees
Atoms (fractional coordinates):
Pu1 0.0000 0.2771 0.2771
Pu2 0.0000 0.7229 0.7229
Pu3 0.2771 0.0000 0.2771
Pu4 0.2771 0.2771 0.0000
Pu5 0.7229 0.0000 0.7229
Pu6 0.7229 0.7229 0.0000
Si1 0.0000 0.0000 0.5000
Si2 0.0000 0.5000 0.0000
Si3 0.5000 0.0000 0.0000
Si4 0.5000 0.5000 0.5000
Rh1 0.0000 0.3310 0.6690
Rh2 0.0000 0.6690 0.3310
Rh3 0.3310 0.0000 0.6690
Rh4 0.3310 0.3310 0.6620
Rh5 0.3310 0.6620 0.3310
Rh6 0.3310 0.6690 0.0000
Rh7 0.3380 0.6690 0.6690
Rh8 0.6620 0.3310 0.3310
Rh9 0.6690 0.0000 0.3310
Rh10 0.6690 0.3310 0.0000
Rh11 0.6690 0.3380 0.6690
Rh12 0.6690 0.6690 0.3380

## Properties
Calculated density in g/cm³: 11.973
Energy in eV for the cell shown: -208.0
DOS at the Fermi energy in states/eV per atom: 2.76
Formation energy from raw total energies in eV/atom: -0.550